Below is a relaxed PrGdAgAu crystal, with properties calculated at the PBE-GGA level.

a b c (Å): 5.244 5.244 5.244
angles (deg): 60.00 60.00 60.00
Atoms (fractional coordinates):
Pr (0.000, 0.000, 0.000)
Gd (0.500, 0.500, 0.500)
Ag (0.750, 0.750, 0.750)
Au (0.250, 0.250, 0.250)

Calculated values
* ΔH_f (0 K): -203 kJ/mol of formula units



Below is a relaxed Ba2GaPd3 crystal, with properties calculated at the PBE-GGA level.

a b c (Å): 8.016 8.016 5.425
angles (deg): 90.00 90.00 68.90
Atoms (fractional coordinates):
Ba (0.031, 0.669, 0.750)
Ba (0.331, 0.969, 0.750)
Ba (0.669, 0.031, 0.250)
Ba (0.969, 0.331, 0.250)
Ga (0.369, 0.631, 0.250)
Ga (0.631, 0.369, 0.750)
Pd (0.092, 0.908, 0.250)
Pd (0.362, 0.362, 0.000)
Pd (0.362, 0.362, 0.500)
Pd (0.638, 0.638, 0.000)
Pd (0.638, 0.638, 0.500)
Pd (0.908, 0.092, 0.750)

Calculated values
* ΔH_f (0 K): -320 kJ/mol of formula units



Below is a relaxed Tb2PrSmTe6 crystal, with properties calculated at the PBE-GGA level.

a b c (Å): 8.418 8.418 8.418
angles (deg): 55.53 55.53 55.53
Atoms (fractional coordinates):
Tb (0.000, 0.000, 0.000)
Tb (0.498, 0.498, 0.498)
Pr (0.190, 0.190, 0.190)
Sm (0.688, 0.688, 0.688)
Te (0.100, 0.398, 0.774)
Te (0.275, 0.890, 0.609)
Te (0.398, 0.774, 0.100)
Te (0.609, 0.275, 0.890)
Te (0.774, 0.100, 0.398)
Te (0.890, 0.609, 0.275)

Calculated values
* formation energy from raw total energies: -1.374 eV/atom



Below is a relaxed Hf2GeP2 crystal, with properties calculated at the PBE-GGA level.

a b c (Å): 7.460 7.460 7.460
angles (deg): 152.70 152.70 38.99
Atoms (fractional coordinates):
Hf (0.109, 0.109, 0.000)
Hf (0.891, 0.891, 0.000)
Ge (0.500, 0.500, 0.000)
P (0.250, 0.750, 0.500)
P (0.750, 0.250, 0.500)

Calculated values
* distance to the lowest polymorph of the same formula: 30 kJ/mol of formula units
* ΔH_f (0 K): -322 kJ/mol of formula units



Below is a relaxed Sr2PmInSe5 crystal, with properties calculated at the PBE-GGA level.

a b c (Å): 9.607 9.607 13.081
angles (deg): 90.00 90.00 154.47
Atoms (fractional coordinates):
Sr (0.115, 0.885, 0.500)
Sr (0.129, 0.871, 0.135)
Sr (0.871, 0.129, 0.635)
Sr (0.885, 0.115, 0.000)
Pm (0.212, 0.788, 0.839)
Pm (0.788, 0.212, 0.339)
In (0.450, 0.550, 0.262)
In (0.550, 0.450, 0.762)
Se (0.048, 0.952, 0.881)
Se (0.289, 0.711, 0.491)
Se (0.315, 0.685, 0.182)
Se (0.364, 0.636, 0.821)
Se (0.494, 0.506, 0.584)
Se (0.506, 0.494, 0.084)
Se (0.636, 0.364, 0.321)
Se (0.685, 0.315, 0.682)
Se (0.711, 0.289, 0.991)
Se (0.952, 0.048, 0.381)

Calculated values
* formation energy from raw total energies: -1.588 eV/atom



Below is a relaxed NdAl3NiPd crystal, with properties calculated at the PBE-GGA level.

a b c (Å): 6.848 6.848 5.817
angles (deg): 90.00 90.00 126.04
Atoms (fractional coordinates):
Nd (0.228, 0.772, 0.750)
Nd (0.772, 0.228, 0.250)
Al (0.214, 0.214, 0.000)
Al (0.214, 0.214, 0.500)
Al (0.359, 0.641, 0.250)
Al (0.641, 0.359, 0.750)
Al (0.786, 0.786, 0.000)
Al (0.786, 0.786, 0.500)
Ni (0.442, 0.558, 0.750)
Ni (0.558, 0.442, 0.250)
Pd (0.145, 0.855, 0.250)
Pd (0.855, 0.145, 0.750)

Calculated values
* ΔH_f (0 K): -309 kJ/mol of formula units



Below is a relaxed UNi4Ge crystal, with properties calculated at the PBE-GGA level.

a b c (Å): 8.274 8.274 4.238
angles (deg): 104.76 104.76 35.62
Atoms (fractional coordinates):
U (0.174, 0.826, 0.750)
U (0.826, 0.174, 0.250)
Ni (0.011, 0.323, 0.417)
Ni (0.262, 0.553, 0.157)
Ni (0.323, 0.011, 0.917)
Ni (0.447, 0.738, 0.343)
Ni (0.553, 0.262, 0.657)
Ni (0.677, 0.989, 0.083)
Ni (0.738, 0.447, 0.843)
Ni (0.989, 0.677, 0.583)
Ge (0.000, 0.500, 0.000)
Ge (0.500, 0.000, 0.500)

Calculated values
* distance to the lowest polymorph of the same formula: 32 kJ/mol of formula units
* ΔH_f (0 K): -111 kJ/mol of formula units



Below is a relaxed Na4Er3ThSe8 crystal, with properties calculated at the PBE-GGA level.

a b c (Å): 8.502 8.502 8.502
angles (deg): 58.10 58.10 58.10
Atoms (fractional coordinates):
Na (0.000, 0.000, 0.000)
Na (0.000, 0.500, 0.500)
Na (0.500, 0.000, 0.500)
Na (0.500, 0.500, 0.000)
Er (0.000, 0.000, 0.500)
Er (0.000, 0.500, 0.000)
Er (0.500, 0.000, 0.000)
Th (0.500, 0.500, 0.500)
Se (0.239, 0.747, 0.747)
Se (0.243, 0.243, 0.243)
Se (0.253, 0.253, 0.761)
Se (0.253, 0.761, 0.253)
Se (0.747, 0.239, 0.747)
Se (0.747, 0.747, 0.239)
Se (0.757, 0.757, 0.757)
Se (0.761, 0.253, 0.253)

Calculated values
* formation energy from raw total energies: -1.637 eV/atom